Below is a relaxed structure of Cs2Li2F, with properties calculated at the PBE level.

abc: 7.8825 7.8825 7.6310
angles: 90.00 90.00 90.00
Space group P4/mbm (No. 127)
One atom of each set of equivalent atoms:
Cs 0.2052 0.2948 0.0000 (multiplicity 4)
Li 0.1414 0.6414 0.5000 (multiplicity 4)
F 0.0000 0.0000 0.0000 (multiplicity 2)

Summary:
E_form (uncorrected) ... -736 meV/atom
Density ... 2.09 g cm⁻³

---

Below is a relaxed structure of CsLi3F, with properties calculated at the PBE level.

abc: 6.9298 6.9298 6.9298
angles: 90.00 90.00 90.00
Space group Pm-3m (No. 221)
One atom of each set of equivalent atoms:
Cs 0.0000 0.0000 0.0000 (multiplicity 1)
Li 0.0000 0.0000 0.5000 (multiplicity 3)
F 0.5000 0.5000 0.5000 (multiplicity 1)

Summary:
E_form (uncorrected) ... 471 meV/atom
Density ... 0.86 g cm⁻³
Energy above the lowest structure with this stoichiometry ... 1008.5 meV per atom

---

Below is a relaxed structure of CsLiF2, with properties calculated at the PBE level.

abc: 6.0880 6.0880 7.9085
angles: 90.00 90.00 90.00
Space group I-42d (No. 122)
One atom of each set of equivalent atoms:
Cs 0.0000 0.0000 0.0000 (multiplicity 4)
Li 0.0000 0.0000 0.5000 (multiplicity 4)
F 0.1049 0.2500 0.6250 (multiplicity 8)

Summary:
E_form (uncorrected) ... -2753 meV/atom
Density ... 4.03 g cm⁻³
Energy above the lowest structure with this stoichiometry ... 52.9 meV per atom

---

Below is a relaxed structure of Cs2LiF3, with properties calculated at the PBE level.

abc: 12.1716 6.2335 8.5188
angles: 90.00 126.19 90.00
Space group C2/m (No. 12)
One atom of each set of equivalent atoms:
Cs 0.0793 0.0000 0.3441 (multiplicity 4)
Cs 0.1814 0.5000 0.8081 (multiplicity 4)
Li 0.1152 0.5000 0.1733 (multiplicity 4)
F 0.0000 0.2740 0.0000 (multiplicity 4)
F 0.1160 0.5000 0.3990 (multiplicity 4)
F 0.2088 0.0000 0.7737 (multiplicity 4)

Summary:
E_form (uncorrected) ... -2744 meV/atom
Density ... 4.20 g cm⁻³
Energy above the lowest structure with this stoichiometry ... 0.0 meV per atom

---

Below is a relaxed structure of Cs3LiF4, with properties calculated at the PBE level.

abc: 6.3781 9.0029 6.8810
angles: 90.00 90.00 90.00
Space group Imm2 (No. 44)
One atom of each set of equivalent atoms:
Cs 0.0000 0.0000 0.0000 (multiplicity 2)
Cs 0.0000 0.2313 0.4928 (multiplicity 4)
Li 0.0000 0.5000 0.0316 (multiplicity 2)
F 0.0000 0.3186 0.8835 (multiplicity 4)
F 0.2385 0.5000 0.1938 (multiplicity 4)

Summary:
E_form (uncorrected) ... -2633 meV/atom
Density ... 4.05 g cm⁻³
Energy above the lowest structure with this stoichiometry ... 82.8 meV per atom

---

Below is a relaxed structure of Cs2LiF3, with properties calculated at the PBE level.

abc: 3.8647 21.8534 6.1523
angles: 90.00 90.00 90.00
Space group Cmcm (No. 63)
One atom of each set of equivalent atoms:
Cs 0.0000 0.0834 0.2500 (multiplicity 4)
Cs 0.0000 0.2985 0.2500 (multiplicity 4)
Li 0.0000 0.4523 0.2500 (multiplicity 4)
F 0.0000 0.0924 0.7500 (multiplicity 4)
F 0.0000 0.3025 0.7500 (multiplicity 4)
F 0.0000 0.5000 0.0000 (multiplicity 4)

Summary:
E_form (uncorrected) ... -2706 meV/atom
Density ... 4.22 g cm⁻³
Energy above the lowest structure with this stoichiometry ... 37.4 meV per atom